# 1
Entry from Alexandria: a geometry-optimized SnTeIrN2 structure (PBE-GGA).

Cell lengths 4.010, 4.010, 5.679 Å; angles 90.00, 90.00, 90.00 degrees
Positions (direct):
Sn (0.500, 0.500, 0.500)
N (0.000, 0.500, 0.000)
N (0.500, 0.000, 0.000)
Te (0.000, 0.000, 0.500)
Ir (0.000, 0.000, 0.000)

Calculated values
Energy relative to the elements, uncorrected (meV/atom): 986
Total magnetization (μB per cell): 0.0
Space-group type: P4/mmm (123)

# 2
Entry from Alexandria: a geometry-optimized SnTeIrN2 structure (PBE-GGA).

Cell lengths 3.901, 3.901, 8.368 Å; angles 90.00, 90.00, 90.00 degrees
Positions (direct):
Sn (0.000, 0.000, 0.000)
Te (0.000, 0.000, 0.500)
Ir (0.500, 0.500, 0.500)
N (0.500, 0.000, 0.000)
N (0.000, 0.500, 0.000)

Calculated values
Energy relative to the elements, uncorrected (meV/atom): 1747
Total magnetization (μB per cell): 0.0
Space-group type: P4/mmm (123)

# 3
Entry from Alexandria: a geometry-optimized SnTe2IrN structure (PBE-GGA).

Cell lengths 5.668, 5.668, 3.788 Å; angles 90.00, 90.00, 90.00 degrees
Positions (direct):
Sn (0.000, 0.000, 0.000)
Ir (0.500, 0.500, 0.500)
N (0.000, 0.000, 0.500)
Te (0.000, 0.500, 0.000)
Te (0.500, 0.000, 0.000)

Calculated values
Energy relative to the elements, uncorrected (meV/atom): 1455
Total magnetization (μB per cell): 0.7
Space-group type: P4/mmm (123)

# 4
Entry from Alexandria: a geometry-optimized Sn2TeIrN structure (PBE-GGA).

Cell lengths 5.069, 5.069, 5.273 Å; angles 90.00, 90.00, 90.00 degrees
Positions (direct):
Sn (0.000, 0.500, 0.000)
Sn (0.500, 0.000, 0.000)
N (0.500, 0.500, 0.500)
Ir (0.000, 0.000, 0.000)
Te (0.000, 0.000, 0.500)

Calculated values
Energy relative to the elements, uncorrected (meV/atom): 1257
Total magnetization (μB per cell): 0.0
Space-group type: P4/mmm (123)